Compound: Sm5Zr3N8
Source: Alexandria
Functional: PBE
Structure: optimized geometry

## Properties
M_tot in μB per formula unit: 0.0
Symmetry: No. 166

```
Sm5Zr3N8
1.0
3.437 1.985 5.675
-3.437 1.985 5.675
0.000 -3.969 5.675
Sm Zr N
5 3 8
direct
0.000 0.000 0.000
0.000 0.500 0.500
0.500 0.000 0.500
0.500 0.500 0.000
0.500 0.500 0.500
0.000 0.000 0.500
0.000 0.500 0.000
0.500 0.000 0.000
0.229 0.750 0.750
0.241 0.241 0.241
0.250 0.250 0.771
0.250 0.771 0.250
0.750 0.229 0.750
0.750 0.750 0.229
0.759 0.759 0.759
0.771 0.250 0.250
```

Compound: Sm5ZrN6
Source: Alexandria
Functional: PBE
Structure: optimized geometry

## Properties
M_tot in μB per formula unit: 0.0
Symmetry: No. 12

```
Sm5ZrN6
1.0
3.054 -5.285 0.000
3.054 5.285 0.000
-2.034 0.000 5.752
Sm Zr N
5 1 6
direct
0.000 0.000 0.000
0.167 0.833 0.500
0.335 0.665 0.000
0.665 0.335 0.000
0.833 0.167 0.500
0.500 0.500 0.500
0.107 0.421 0.262
0.265 0.265 0.741
0.421 0.107 0.262
0.579 0.893 0.738
0.735 0.735 0.259
0.893 0.579 0.738
```

Compound: SmZr3N
Source: Alexandria
Functional: PBE
Structure: optimized geometry

## Properties
M_tot in μB per formula unit: 0.0
Symmetry: No. 221

```
SmZr3N
1.0
4.669 0.000 0.000
0.000 4.669 0.000
0.000 0.000 4.669
Sm Zr N
1 3 1
direct
0.000 0.000 0.000
0.000 0.500 0.500
0.500 0.000 0.500
0.500 0.500 0.000
0.500 0.500 0.500
```

Compound: SmZr2N4
Source: Alexandria
Functional: PBE
Structure: optimized geometry

## Properties
M_tot in μB per formula unit: 0.0
Symmetry: No. 63

```
SmZr2N4
1.0
1.646 -5.453 0.000
1.646 5.453 0.000
0.000 0.000 10.553
Sm Zr N
2 4 8
direct
0.108 0.892 0.750
0.892 0.108 0.250
0.368 0.632 0.568
0.368 0.632 0.932
0.632 0.368 0.068
0.632 0.368 0.432
0.000 0.000 0.000
0.000 0.000 0.500
0.264 0.736 0.115
0.264 0.736 0.385
0.452 0.548 0.750
0.548 0.452 0.250
0.736 0.264 0.615
0.736 0.264 0.885
```

Compound: Sm2ZrN
Source: Alexandria
Functional: PBE
Structure: optimized geometry

## Properties
M_tot in μB per formula unit: 0.0
Symmetry: No. 166

```
Sm2ZrN
1.0
1.707 0.986 9.370
-1.707 0.986 9.370
0.000 -1.971 9.370
Sm Zr N
2 1 1
direct
0.117 0.117 0.117
0.883 0.883 0.883
0.000 0.000 0.000
0.500 0.500 0.500
```

Compound: Sm2ZrN3
Source: Alexandria
Functional: PBE
Structure: optimized geometry

## Properties
M_tot in μB per formula unit: 0.0
Symmetry: No. 139

```
Sm2ZrN3
1.0
-1.743 1.743 7.346
1.743 -1.743 7.346
1.743 1.743 -7.346
Sm Zr N
2 1 3
direct
0.163 0.163 0.000
0.837 0.837 0.000
0.500 0.500 0.000
0.000 0.000 0.000
0.345 0.345 0.000
0.655 0.655 0.000
```

Compound: SmZr5N6
Source: Alexandria
Functional: PBE
Structure: optimized geometry

## Properties
M_tot in μB per formula unit: 0.0
Symmetry: No. 12

```
SmZr5N6
1.0
2.865 -4.966 0.000
2.865 4.966 0.000
-1.899 0.000 5.420
Sm Zr N
1 5 6
direct
0.000 0.000 0.000
0.167 0.833 0.500
0.333 0.667 0.000
0.500 0.500 0.500
0.667 0.333 0.000
0.833 0.167 0.500
0.087 0.432 0.261
0.261 0.261 0.743
0.432 0.087 0.261
0.568 0.913 0.739
0.739 0.739 0.257
0.913 0.568 0.739
```

Compound: SmZrN
Source: Alexandria
Functional: PBE
Structure: optimized geometry

## Properties
M_tot in μB per formula unit: 0.0
Distance to the lowest polymorph of the same formula in meV/atom: 0.0
Symmetry: No. 59

```
SmZrN
1.0
3.451 0.000 0.000
0.000 4.535 0.000
0.000 0.000 7.690
Sm Zr N
2 2 2
direct
0.250 0.250 0.161
0.750 0.750 0.839
0.250 0.250 0.585
0.750 0.750 0.415
0.250 0.750 0.612
0.750 0.250 0.388
```

Looking at raw formation energy for the records above, in order, we have -152, -148, -51, -125, -41, -146, -158, -106 kJ/mol of atoms.
Looking at D(E_F) for the records above, in order, we have 2.2, 1.9, 5.0, 6.8, 4.1, 1.1, 4.6, 1.8 states/eV/cell.